DFT (PBE-GGA) results for an optimized crystal structure of SnB.

Geometry as CIF:
```
data_SnB
_space_group_name_H-M_alt 'F m -3 m'
_space_group_IT_number 225
_space_group_name_Hall '-F 4 2 3'
_cell_length_a 4.9940
_cell_length_b 4.9940
_cell_length_c 4.9940
_cell_angle_alpha 90.00
_cell_angle_beta 90.00
_cell_angle_gamma 90.00
loop_
_atom_site_label
_atom_site_type_symbol
_atom_site_fract_x
_atom_site_fract_y
_atom_site_fract_z
Sn1 Sn 0.0000 0.0000 0.0000
B1 B 0.0000 0.0000 0.5000
```

Its density of states at the Fermi level is 0.70 states/eV/atom. The value obtained for the formation energy is 0.967 eV/atom. The value obtained for the total energy is -4.373 eV per atom. As for the energy above the most stable polymorph in this dataset: 581 meV per atom.

=====

DFT (PBE-GGA) results for an optimized crystal structure of Na2PmGeO4.

Geometry as CIF:
```
data_Na2PmGeO4
_space_group_name_H-M_alt 'C 1 m 1'
_space_group_IT_number 8
_space_group_name_Hall 'C -2y'
_cell_length_a 10.8080
_cell_length_b 4.5853
_cell_length_c 4.9564
_cell_angle_alpha 90.00
_cell_angle_beta 116.93
_cell_angle_gamma 90.00
loop_
_atom_site_label
_atom_site_type_symbol
_atom_site_fract_x
_atom_site_fract_y
_atom_site_fract_z
Na1 Na 0.0000 0.0000 0.0000
Na2 Na 0.2360 0.5000 0.2341
Pm1 Pm 0.4949 0.0000 0.5006
Ge1 Ge 0.2541 0.0000 0.7823
O1 O 0.0340 0.0000 0.5291
O2 O 0.2412 0.5000 0.7172
O3 O 0.2577 0.0000 0.1544
O4 O 0.4687 0.0000 0.9588
```

For the uncorrected formation energy, the calculation gives -46.0 kcal/mol of atoms. Its density of states at the Fermi level is 0.13 states/eV/atom. The value obtained for the total energy is -5.973 eV per atom.

=====

DFT (PBE-GGA) results for an optimized crystal structure of TiCdCu2S4.

Geometry as CIF:
```
data_TiCdCu2S4
_space_group_name_H-M_alt 'I -4 2 m'
_space_group_IT_number 121
_space_group_name_Hall 'I -4 2'
_cell_length_a 5.5351
_cell_length_b 5.5351
_cell_length_c 10.7170
_cell_angle_alpha 90.00
_cell_angle_beta 90.00
_cell_angle_gamma 90.00
loop_
_atom_site_label
_atom_site_type_symbol
_atom_site_fract_x
_atom_site_fract_y
_atom_site_fract_z
Ti1 Ti 0.0000 0.0000 0.0000
Cd1 Cd 0.0000 0.0000 0.5000
Cu1 Cu 0.0000 0.5000 0.2500
S1 S 0.2300 0.2300 0.8658
```

For the uncorrected formation energy, the calculation gives -16.2 kcal/mol of atoms. The value obtained for the total energy is -4.892 eV per atom.